Density functional theory data (PBE) for a geometry-optimized NaCoHgTe structure.

Calculated values
Energy above the lowest structure with this stoichiometry   208 meV/atom

Lattice parameters (Å, degrees): 5.0183 5.0183 5.0183 60.00 60.00 60.00
Fractional coordinates of all 4 atoms:
Hg  0.0000  0.0000  0.0000
Co  0.5000  0.5000  0.5000
Na  0.7500  0.7500  0.7500
Te  0.2500  0.2500  0.2500

Density functional theory data (PBE) for a geometry-optimized Ho3Sc3Sb2Os structure.

Calculated values
Energy above the lowest structure with this stoichiometry   170 meV/atom

Lattice parameters (Å, degrees): 7.9904 7.9904 4.0243 90.00 90.00 120.00
Fractional coordinates of all 9 atoms:
Sc  0.0000  0.6091  0.0000
Sc  0.6091  0.0000  0.0000
Sc  0.3909  0.3909  0.0000
Sb  0.3333  0.6667  0.5000
Sb  0.6667  0.3333  0.5000
Os  0.0000  0.0000  0.0000
Ho  0.2442  0.0000  0.5000
Ho  0.0000  0.2442  0.5000
Ho  0.7558  0.7558  0.5000

Density functional theory data (PBE) for a geometry-optimized Sr2CuAgS2F2 structure.

Calculated values
E_tot   -4.765 eV/atom

Lattice parameters (Å, degrees): 4.0178 4.0178 8.8404 90.00 90.00 90.00
Fractional coordinates of all 8 atoms:
Ag  0.0000  0.0000  0.0000
Cu  0.5000  0.5000  0.0000
S  0.0000  0.5000  0.1805
S  0.5000  0.0000  0.8195
Sr  0.5000  0.0000  0.3359
Sr  0.0000  0.5000  0.6641
F  0.5000  0.5000  0.5000
F  0.0000  0.0000  0.5000

What is the formula in the first record?
NaCoHgTe